5
Lattice="4.128 0.000 0.000 0.000 4.128 0.000 0.000 0.000 4.128" Properties=species:S:1:pos:R:3 comment="HfIO3 | the Alexandria database | meta-GGA SCAN | single point on PBEsol structure" space_group=Pm-3m crystal_system=cubic vol_a3_per_atom=14.06 formation_energy_uncorrected_ev_per_atom=-1.74 pbc="T T T"
Hf 0.000 0.000 0.000
I 2.064 2.064 2.064
O 0.000 0.000 2.064
O 0.000 2.064 0.000
O 2.064 0.000 0.000

---

4
Lattice="0.000 3.337 3.337 3.337 0.000 3.337 3.337 3.337 0.000" Properties=species:S:1:pos:R:3 comment="Te2OsRh | the Alexandria database | meta-GGA SCAN | single point on PBEsol structure" space_group=F-43m crystal_system=cubic vol_a3_per_atom=18.57 formation_energy_uncorrected_ev_per_atom=1.07 pbc="T T T"
Te 0.000 0.000 0.000
Te 1.668 1.668 1.668
Os 5.005 5.005 5.005
Rh 3.337 3.337 3.337

---

8
Lattice="-2.044 2.044 4.091 2.044 -2.044 4.091 2.044 2.044 -4.091" Properties=species:S:1:pos:R:3 comment="Cr2HN | the Alexandria database | meta-GGA SCAN | single point on PBEsol structure" space_group=I-42d crystal_system=tetragonal total_energy_ev_per_atom=-12.49 vol_a3_per_atom=8.54 pbc="T T T"
Cr 3.066 0.942 -1.023
Cr 0.942 1.022 1.023
Cr -1.022 1.102 3.068
Cr 1.102 1.022 5.114
H 0.000 0.000 0.000
H 0.000 2.044 2.045
N 2.044 0.000 2.045
N 0.000 0.000 4.091

---

4
Lattice="0.000 3.273 3.273 3.273 0.000 3.273 3.273 3.273 0.000" Properties=species:S:1:pos:R:3 comment="Zr2AgF | the Alexandria database | meta-GGA SCAN | single point on PBEsol structure" space_group=Fm-3m crystal_system=cubic vol_a3_per_atom=17.52 formation_energy_uncorrected_ev_per_atom=-0.57 pbc="T T T"
Zr 1.636 1.636 1.636
Zr 4.909 4.909 4.909
Ag 0.000 0.000 0.000
F 3.273 3.273 3.273

---

64
Lattice="9.958 0.000 0.000 0.000 9.958 0.000 0.000 0.000 9.958" Properties=species:S:1:pos:R:3 comment="Ag2Rh15S15 | the Alexandria database | meta-GGA SCAN | single point on PBEsol structure" space_group=Pm-3m crystal_system=cubic vol_a3_per_atom=15.43 formation_energy_uncorrected_ev_per_atom=-0.45 pbc="T T T"
Ag 0.000 0.000 0.000
Ag 0.000 4.979 4.979
Ag 4.979 0.000 4.979
Ag 4.979 4.979 0.000
Rh 1.414 1.414 3.592
Rh 1.414 1.414 6.366
Rh 1.414 3.592 1.414
Rh 1.414 3.592 8.544
Rh 1.414 6.366 1.414
Rh 1.414 6.366 8.544
Rh 1.414 8.544 3.592
Rh 1.414 8.544 6.366
Rh 2.917 4.979 4.979
Rh 3.592 1.414 1.414
Rh 3.592 1.414 8.544
Rh 3.592 8.544 1.414
Rh 3.592 8.544 8.544
Rh 4.979 2.917 4.979
Rh 4.979 4.979 2.917
Rh 4.979 4.979 7.041
Rh 4.979 7.041 4.979
Rh 6.366 1.414 1.414
Rh 6.366 1.414 8.544
Rh 6.366 8.544 1.414
Rh 6.366 8.544 8.544
Rh 7.041 4.979 4.979
Rh 8.544 1.414 3.592
Rh 8.544 1.414 6.366
Rh 8.544 3.592 1.414
Rh 8.544 3.592 8.544
Rh 8.544 6.366 1.414
Rh 8.544 6.366 8.544
Rh 8.544 8.544 3.592
Rh 8.544 8.544 6.366
S 0.000 0.000 2.463
S 0.000 0.000 7.495
S 0.000 2.463 0.000
S 0.000 3.219 3.219
S 0.000 3.219 6.739
S 0.000 6.739 3.219
S 0.000 6.739 6.739
S 0.000 7.495 0.000
S 2.463 0.000 0.000
S 2.698 2.698 4.979
S 2.698 4.979 2.698
S 2.698 4.979 7.260
S 2.698 7.260 4.979
S 3.219 0.000 3.219
S 3.219 0.000 6.739
S 3.219 3.219 0.000
S 3.219 6.739 0.000
S 4.979 2.698 2.698
S 4.979 2.698 7.260
S 4.979 7.260 2.698
S 4.979 7.260 7.260
S 6.739 0.000 3.219
S 6.739 0.000 6.739
S 6.739 3.219 0.000
S 6.739 6.739 0.000
S 7.260 2.698 4.979
S 7.260 4.979 2.698
S 7.260 4.979 7.260
S 7.260 7.260 4.979
S 7.495 0.000 0.000

---

5
Lattice="4.674 0.000 0.000 0.000 4.674 0.000 0.000 0.000 4.616" Properties=species:S:1:pos:R:3 comment="SrMnNb2Re | the Alexandria database | meta-GGA SCAN | single point on PBEsol structure" space_group=P4/mmm crystal_system=tetragonal delta_e_f_ev_per_atom=0.890 vol_a3_per_atom=20.17 pbc="T T T"
Sr 0.000 0.000 0.000
Mn 2.337 2.337 2.308
Nb 0.000 2.337 2.308
Nb 2.337 0.000 2.308
Re 2.337 2.337 0.000

---

8
Lattice="-3.629 3.629 3.418 3.629 -3.629 3.418 3.629 3.629 -3.418" Properties=species:S:1:pos:R:3 comment="Y2TeF | the Alexandria database | meta-GGA SCAN | single point on PBEsol structure" space_group=I-42d crystal_system=tetragonal vol_a3_per_atom=22.51 formation_energy_uncorrected_ev_per_atom=-1.91 pbc="T T T"
Y 5.444 1.141 -0.855
Y 1.141 1.815 0.855
Y -1.815 2.488 2.564
Y 2.488 1.815 4.273
Te 3.629 0.000 1.709
Te 0.000 0.000 3.418
F 0.000 0.000 0.000
F 0.000 3.629 1.709

---

20
Lattice="8.470 0.000 0.000 0.000 6.501 0.000 -0.839 0.000 8.112" Properties=species:S:1:pos:R:3 comment="BaGa2Pt2 | the Alexandria database | meta-GGA SCAN | single point on PBEsol structure" space_group=P2_1/c crystal_system=monoclinic delta_e_f_ev_per_atom=-0.981 vol_a3_per_atom=22.33 pbc="T T T"
Ba 1.968 0.725 0.007
Ba 1.549 2.526 4.064
Ba 6.082 3.975 4.049
Ba 5.663 5.776 8.105
Ga -0.130 3.753 7.064
Ga 0.289 5.998 3.008
Ga 3.618 4.249 1.591
Ga 3.198 5.502 5.647
Ga 4.433 0.998 2.465
Ga 4.013 2.252 6.521
Ga 7.342 0.503 5.105
Ga 7.761 2.747 1.049
Pt 1.126 4.350 1.397
Pt 0.707 5.401 5.453
Pt 2.379 3.890 7.284
Pt 2.799 5.861 3.228
Pt 4.832 0.639 4.885
Pt 5.252 2.611 0.828
Pt 6.924 1.100 2.659
Pt 6.504 2.150 6.716

---

5
Lattice="5.049 0.000 0.000 0.000 5.049 0.000 0.000 0.000 5.637" Properties=species:S:1:pos:R:3 comment="CsScIn2Cu | the Alexandria database | meta-GGA SCAN | single point on PBEsol structure" space_group=P4/mmm crystal_system=tetragonal delta_e_f_ev_per_atom=0.531 vol_a3_per_atom=28.74 pbc="T T T"
Cs 0.000 0.000 0.000
Sc 2.525 2.525 0.000
In 0.000 2.525 2.818
In 2.525 0.000 2.818
Cu 0.000 0.000 2.818

---

6
Lattice="5.693 0.000 0.000 -2.846 4.930 0.000 0.000 0.000 5.852" Properties=species:S:1:pos:R:3 comment="Y5Os | the Alexandria database | meta-GGA SCAN | single point on PBEsol structure" space_group=P6/mmm crystal_system=hexagonal delta_e_f_ev_per_atom=1.061 vol_a3_per_atom=27.37 pbc="T T T"
Y -1.423 2.465 0.000
Y 0.000 3.287 2.926
Y 2.846 0.000 0.000
Y 1.423 2.465 0.000
Y 2.846 1.643 2.926
Os 0.000 0.000 2.926

---

4
Lattice="0.000 3.346 3.346 3.346 0.000 3.346 3.346 3.346 0.000" Properties=species:S:1:pos:R:3 comment="NiPb2W | the Alexandria database | meta-GGA SCAN | single point on PBEsol structure" space_group=Fm-3m crystal_system=cubic delta_e_f_ev_per_atom=1.108 vol_a3_per_atom=18.74 pbc="T T T"
Ni 0.000 0.000 0.000
Pb 1.673 1.673 1.673
Pb 5.019 5.019 5.019
W 3.346 3.346 3.346

---

5
Lattice="4.660 0.000 0.000 0.000 4.660 0.000 0.000 0.000 4.660" Properties=species:S:1:pos:R:3 comment="TiIr3Os | the Alexandria database | meta-GGA SCAN | single point on PBEsol structure" space_group=Pm-3m crystal_system=cubic delta_e_f_ev_per_atom=1.569 vol_a3_per_atom=20.24 pbc="T T T"
Ti 0.000 0.000 0.000
Ir 0.000 2.330 2.330
Ir 2.330 0.000 2.330
Ir 2.330 2.330 0.000
Os 2.330 2.330 2.330

---

no.,M_tot (μB/f.u.)
1,0.00
2,0.02
3,2.97
4,0.00
5,0.00
6,0.00
7,0.91
8,0.00
9,0.00
10,0.00
11,0.00
12,1.70